(1)
First-principles (GGA-PBEsol) data for a relaxed BaSc2Hg crystal, as listed in Alexandria via LeMat-Bulk.

a = 3.5060 Å, b = 3.5060 Å, c = 31.5157 Å
α = 90.00°, β = 90.00°, γ = 120.00°
Closest atoms and distances in Å follow each position.
Space group R-3m (No. 166, hexagonal axes)
Unique sites:
Ba 0.0000 0.0000 0.0000  6 Ba 3.51, 6 Sc 3.70
Sc 0.0000 0.0000 0.2349  3 Hg 2.95
Hg 0.0000 0.0000 0.5000  6 Sc 2.95

Computed properties:
DFT formation energy = 0.0453 eV per atom
DFT total energy = -3.936 eV/atom



(2)
First-principles (GGA-PBEsol) data for a relaxed MgH2 crystal, as listed in Alexandria via LeMat-Bulk.

a = 5.2756 Å, b = 3.0868 Å, c = 5.9851 Å
α = 90.00°, β = 90.00°, γ = 90.00°
Closest atoms and distances in Å follow each position.
Space group Pnma (No. 62)
Unique sites:
Mg 0.2470 0.2500 0.1056  7 H 1.97-2.15
H 0.0221 0.7500 0.3327  3 Mg 2.04-2.15
H 0.1386 0.7500 0.9258  4 Mg 1.97-2.04

Computed properties:
DFT total energy = -2.903 eV/atom



(3)
First-principles (GGA-PBEsol) data for a relaxed TcRhC2 crystal, as listed in Alexandria via LeMat-Bulk.

a = 4.5496 Å, b = 4.5496 Å, c = 9.0567 Å
α = 90.00°, β = 90.00°, γ = 90.00°
Closest atoms and distances in Å follow each position.
Space group I-42d (No. 122)
Unique sites:
Tc 0.0000 0.0000 0.0000  4 C 1.95
Rh 0.0000 0.0000 0.5000  4 C 1.99
C 0.2427 0.2500 0.1250  2 Tc 1.95, 2 Rh 1.99

Computed properties:
DFT formation energy = 0.4422 eV per atom
DFT total energy = -9.231 eV/atom